Record 1
## BaTaCd2 (PBE)

Data for BaTaCd2 after structural relaxation.

**Offset from the most stable computed form**: 236.1 meV per atom
**Energy of formation from the pure elements**: 2.22 eV per formula unit

Cell and atoms, written as CIF:
```
data_BaTaCd2
_cell_length_a 7.0284
_cell_length_b 9.2094
_cell_length_c 3.0947
_cell_angle_alpha 90.00
_cell_angle_beta 90.00
_cell_angle_gamma 90.00
_space_group_name_H-M_alt 'C m m m'
_space_group_IT_number 65
_space_group_name_Hall '-C 2 2'
loop_
_atom_site_label
_atom_site_fract_x
_atom_site_fract_y
_atom_site_fract_z
Ba1 0.0000 0.0000 0.0000
Ta1 0.0000 0.5000 0.0000
Cd1 0.2500 0.2500 0.5000
```

***

Record 2
## PrEuPb (PBE)

Data for PrEuPb after structural relaxation.

**Offset from the most stable computed form**: 19.8 meV per atom
**Energy of formation from the pure elements**: -0.96 eV per formula unit

Cell and atoms, written as CIF:
```
data_PrEuPb
_cell_length_a 7.7305
_cell_length_b 7.7305
_cell_length_c 7.7305
_cell_angle_alpha 90.00
_cell_angle_beta 90.00
_cell_angle_gamma 90.00
_space_group_name_H-M_alt 'F -4 3 m'
_space_group_IT_number 216
_space_group_name_Hall 'F -4 2 3'
loop_
_atom_site_label
_atom_site_fract_x
_atom_site_fract_y
_atom_site_fract_z
Pr1 0.0000 0.0000 0.0000
Eu1 0.0000 0.0000 0.5000
Pb1 0.2500 0.2500 0.7500
```

***

Record 3
## Ca2ZnCo2 (PBE)

Data for Ca2ZnCo2 after structural relaxation.

**Energy of formation from the pure elements**: 0.78 eV per formula unit

Cell and atoms, written as CIF:
```
data_Ca2ZnCo2
_cell_length_a 3.3830
_cell_length_b 3.3830
_cell_length_c 18.1866
_cell_angle_alpha 90.00
_cell_angle_beta 90.00
_cell_angle_gamma 90.00
_space_group_name_H-M_alt 'I 4/m m m'
_space_group_IT_number 139
_space_group_name_Hall '-I 4 2'
loop_
_atom_site_label
_atom_site_fract_x
_atom_site_fract_y
_atom_site_fract_z
Ca1 0.0000 0.0000 0.1149
Zn1 0.0000 0.0000 0.5000
Co1 0.0000 0.5000 0.2500
```

***

Record 4
## NaTmSn (PBE)

Data for NaTmSn after structural relaxation.

**Offset from the most stable computed form**: 33.7 meV per atom
**Energy of formation from the pure elements**: -0.66 eV per formula unit

Cell and atoms, written as CIF:
```
data_NaTmSn
_cell_length_a 5.1267
_cell_length_b 5.1267
_cell_length_c 3.4461
_cell_angle_alpha 90.00
_cell_angle_beta 90.00
_cell_angle_gamma 120.00
_space_group_name_H-M_alt 'P 3 m 1'
_space_group_IT_number 156
_space_group_name_Hall 'P 3 -2"'
loop_
_atom_site_label
_atom_site_fract_x
_atom_site_fract_y
_atom_site_fract_z
Na1 0.0000 0.0000 0.0000
Tm1 0.3333 0.6667 0.4376
Sn1 0.6667 0.3333 0.8428
```

***

Record 5
## BaLiDyCd (PBE)

Data for BaLiDyCd after structural relaxation.

**Energy of formation from the pure elements**: 0.00 eV per formula unit

Cell and atoms, written as CIF:
```
data_BaLiDyCd
_cell_length_a 7.9997
_cell_length_b 7.9997
_cell_length_c 7.9997
_cell_angle_alpha 90.00
_cell_angle_beta 90.00
_cell_angle_gamma 90.00
_space_group_name_H-M_alt 'F -4 3 m'
_space_group_IT_number 216
_space_group_name_Hall 'F -4 2 3'
loop_
_atom_site_label
_atom_site_fract_x
_atom_site_fract_y
_atom_site_fract_z
Ba1 0.0000 0.0000 0.0000
Li1 0.2500 0.2500 0.2500
Dy1 0.0000 0.0000 0.5000
Cd1 0.2500 0.2500 0.7500
```

***

Record 6
## TePW2 (PBE)

Data for TePW2 after structural relaxation.

**Offset from the most stable computed form**: 0.0 meV per atom

Cell and atoms, written as CIF:
```
data_TePW2
_cell_length_a 8.5695
_cell_length_b 3.2767
_cell_length_c 5.2877
_cell_angle_alpha 90.00
_cell_angle_beta 105.82
_cell_angle_gamma 90.00
_space_group_name_H-M_alt 'C 1 m 1'
_space_group_IT_number 8
_space_group_name_Hall 'C -2y'
loop_
_atom_site_label
_atom_site_fract_x
_atom_site_fract_y
_atom_site_fract_z
Te1 0.0000 0.0000 0.0000
P1 0.2386 0.0000 0.5720
W1 0.0242 0.5000 0.5912
W2 0.2566 0.5000 0.2414
```

***

Record 7
## RbInGaF6 (PBE)

Data for RbInGaF6 after structural relaxation.

**Electronic total energy**: -4.389 eV per atom

Cell and atoms, written as CIF:
```
data_RbInGaF6
_cell_length_a 5.8717
_cell_length_b 5.8717
_cell_length_c 4.9640
_cell_angle_alpha 90.00
_cell_angle_beta 90.00
_cell_angle_gamma 120.00
_space_group_name_H-M_alt 'P 3'
_space_group_IT_number 143
_space_group_name_Hall 'P 3'
loop_
_atom_site_label
_atom_site_fract_x
_atom_site_fract_y
_atom_site_fract_z
Rb1 0.0000 0.0000 0.0000
In1 0.6667 0.3333 0.4982
Ga1 0.3333 0.6667 0.9976
F1 0.0375 0.4321 0.2323
F2 0.0379 0.6071 0.7631
```

***

Record 8
## SmY4In (PBE)

Data for SmY4In after structural relaxation.

**Offset from the most stable computed form**: 47.0 meV per atom
**Energy of formation from the pure elements**: -0.69 eV per formula unit

Cell and atoms, written as CIF:
```
data_SmY4In
_cell_length_a 6.2169
_cell_length_b 7.0599
_cell_length_c 9.0922
_cell_angle_alpha 90.00
_cell_angle_beta 108.23
_cell_angle_gamma 90.00
_space_group_name_H-M_alt 'P 1 21/m 1'
_space_group_IT_number 11
_space_group_name_Hall '-P 2yb'
loop_
_atom_site_label
_atom_site_fract_x
_atom_site_fract_y
_atom_site_fract_z
Sm1 0.1535 0.2500 0.3746
Y1 0.1766 0.2500 0.0030
Y2 0.1941 0.7500 0.3654
Y3 0.3692 0.5023 0.7245
In1 0.3117 0.7500 0.0027
```

***

Record 9
## HgGeHRh2 (PBE)

Data for HgGeHRh2 after structural relaxation.

**Electronic total energy**: -3.450 eV per atom

Cell and atoms, written as CIF:
```
data_HgGeHRh2
_cell_length_a 4.6020
_cell_length_b 4.6020
_cell_length_c 5.1145
_cell_angle_alpha 90.00
_cell_angle_beta 90.00
_cell_angle_gamma 90.00
_space_group_name_H-M_alt 'P 4/m m m'
_space_group_IT_number 123
_space_group_name_Hall '-P 4 2'
loop_
_atom_site_label
_atom_site_fract_x
_atom_site_fract_y
_atom_site_fract_z
Hg1 0.0000 0.0000 0.0000
Ge1 0.0000 0.0000 0.5000
H1 0.5000 0.5000 0.0000
Rh1 0.0000 0.5000 0.5000
```

***

Record 10
## PmGdLuOs (PBE)

Data for PmGdLuOs after structural relaxation.

**Energy of formation from the pure elements**: 0.66 eV per formula unit

Cell and atoms, written as CIF:
```
data_PmGdLuOs
_cell_length_a 7.2981
_cell_length_b 7.2981
_cell_length_c 7.2981
_cell_angle_alpha 90.00
_cell_angle_beta 90.00
_cell_angle_gamma 90.00
_space_group_name_H-M_alt 'F -4 3 m'
_space_group_IT_number 216
_space_group_name_Hall 'F -4 2 3'
loop_
_atom_site_label
_atom_site_fract_x
_atom_site_fract_y
_atom_site_fract_z
Pm1 0.0000 0.0000 0.0000
Gd1 0.0000 0.0000 0.5000
Lu1 0.2500 0.2500 0.7500
Os1 0.2500 0.2500 0.2500
```

***

Record 11
## MgUBi2N (PBE)

Data for MgUBi2N after structural relaxation.

**Electronic total energy**: -6.320 eV per atom

Cell and atoms, written as CIF:
```
data_MgUBi2N
_cell_length_a 3.8123
_cell_length_b 3.8123
_cell_length_c 18.1614
_cell_angle_alpha 90.00
_cell_angle_beta 90.00
_cell_angle_gamma 90.00
_space_group_name_H-M_alt 'P 4/n m m'
_space_group_IT_number 129
loop_
_space_group_symop_operation_xyz
'x,y,z'
'-x,-y,-z'
'-y+1/2,x,z'
'y+1/2,-x,-z'
'-x+1/2,-y+1/2,z'
'x+1/2,y+1/2,-z'
'y,-x+1/2,z'
'-y,x+1/2,-z'
'x+1/2,-y,-z'
'-x+1/2,y,z'
'-y,-x,-z'
'y,x,z'
'-x,y+1/2,-z'
'x,-y+1/2,z'
'y+1/2,x+1/2,-z'
'-y+1/2,-x+1/2,z'
loop_
_atom_site_label
_atom_site_fract_x
_atom_site_fract_y
_atom_site_fract_z
Mg1 0.2500 0.2500 0.1596
U1 0.2500 0.2500 0.5640
Bi1 0.2500 0.2500 0.3197
Bi2 0.2500 0.2500 0.9305
N1 0.2500 0.7500 0.5000
```

***

Record 12
## Fe2SbPb (PBE)

Data for Fe2SbPb after structural relaxation.

**Offset from the most stable computed form**: 58.5 meV per atom

Cell and atoms, written as CIF:
```
data_Fe2SbPb
_cell_length_a 3.6406
_cell_length_b 4.1425
_cell_length_c 5.3132
_cell_angle_alpha 90.00
_cell_angle_beta 110.01
_cell_angle_gamma 90.00
_space_group_name_H-M_alt 'P 1 m 1'
_space_group_IT_number 6
_space_group_name_Hall 'P -2y'
loop_
_atom_site_label
_atom_site_fract_x
_atom_site_fract_y
_atom_site_fract_z
Fe1 0.0000 0.0000 0.0000
Fe2 0.1317 0.5000 0.2628
Sb1 0.4286 0.5000 0.8580
Pb1 0.7198 0.0000 0.4370
```

***

Record 13
## Y10Ga3Te3 (PBE)

Data for Y10Ga3Te3 after structural relaxation.

**Electronic total energy**: -5.985 eV per atom

Cell and atoms, written as CIF:
```
data_Y10Ga3Te3
_cell_length_a 8.8192
_cell_length_b 8.8192
_cell_length_c 6.3819
_cell_angle_alpha 90.00
_cell_angle_beta 90.00
_cell_angle_gamma 120.00
_space_group_name_H-M_alt 'P -6 2 m'
_space_group_IT_number 189
_space_group_name_Hall 'P -6 -2'
loop_
_atom_site_label
_atom_site_fract_x
_atom_site_fract_y
_atom_site_fract_z
Y1 0.0000 0.2407 0.0000
Y2 0.0000 0.7572 0.5000
Y3 0.3333 0.6667 0.2424
Ga1 0.0000 0.6094 0.0000
Te1 0.0000 0.3925 0.5000
```

***

Record 14
## AcNd2Pt (PBE)

Data for AcNd2Pt after structural relaxation.

**Offset from the most stable computed form**: 280.9 meV per atom
**Energy of formation from the pure elements**: -1.34 eV per formula unit

Cell and atoms, written as CIF:
```
data_AcNd2Pt
_cell_length_a 3.9798
_cell_length_b 3.9798
_cell_length_c 33.0188
_cell_angle_alpha 90.00
_cell_angle_beta 90.00
_cell_angle_gamma 120.00
_space_group_name_H-M_alt 'R -3 m'
_space_group_IT_number 166
_space_group_name_Hall '-R 3 2"'
loop_
_atom_site_label
_atom_site_fract_x
_atom_site_fract_y
_atom_site_fract_z
Ac1 0.0000 0.0000 0.0000
Nd1 0.0000 0.0000 0.1143
Pt1 0.0000 0.0000 0.5000
```

***

Record 15
## Pm4Pr3NdSe8 (PBE)

Data for Pm4Pr3NdSe8 after structural relaxation.

**Electronic total energy**: -5.958 eV per atom

Cell and atoms, written as CIF:
```
data_Pm4Pr3NdSe8
_cell_length_a 8.4511
_cell_length_b 8.4511
_cell_length_c 20.7436
_cell_angle_alpha 90.00
_cell_angle_beta 90.00
_cell_angle_gamma 120.00
_space_group_name_H-M_alt 'R -3 m'
_space_group_IT_number 166
_space_group_name_Hall '-R 3 2"'
loop_
_atom_site_label
_atom_site_fract_x
_atom_site_fract_y
_atom_site_fract_z
Pm1 0.0000 0.0000 0.0000
Pm2 0.0000 0.5000 0.0000
Pr1 0.0000 0.5000 0.5000
Nd1 0.0000 0.0000 0.5000
Se1 0.0000 0.0000 0.2521
Se2 0.0014 0.5007 0.2517
```

***

Record 16
## Li2GeHRu (PBE)

Data for Li2GeHRu after structural relaxation.

**Electronic total energy**: -4.440 eV per atom

Cell and atoms, written as CIF:
```
data_Li2GeHRu
_cell_length_a 3.7260
_cell_length_b 3.7260
_cell_length_c 3.9368
_cell_angle_alpha 90.00
_cell_angle_beta 90.00
_cell_angle_gamma 90.00
_space_group_name_H-M_alt 'P 4/m m m'
_space_group_IT_number 123
_space_group_name_Hall '-P 4 2'
loop_
_atom_site_label
_atom_site_fract_x
_atom_site_fract_y
_atom_site_fract_z
Li1 0.0000 0.5000 0.0000
Ge1 0.0000 0.0000 0.5000
H1 0.5000 0.5000 0.0000
Ru1 0.5000 0.5000 0.5000
```

***

Record 17
## NiOsRh2 (PBE)

Data for NiOsRh2 after structural relaxation.

**Offset from the most stable computed form**: 22.7 meV per atom
**Energy of formation from the pure elements**: 0.24 eV per formula unit

Cell and atoms, written as CIF:
```
data_NiOsRh2
_cell_length_a 8.9007
_cell_length_b 2.6722
_cell_length_c 4.6010
_cell_angle_alpha 90.00
_cell_angle_beta 99.90
_cell_angle_gamma 90.00
_space_group_name_H-M_alt 'C 1 2/m 1'
_space_group_IT_number 12
_space_group_name_Hall '-C 2y'
loop_
_atom_site_label
_atom_site_fract_x
_atom_site_fract_y
_atom_site_fract_z
Ni1 0.0000 0.0000 0.0000
Os1 0.0000 0.5000 0.5000
Rh1 0.2495 0.5000 0.2494
```

***

Record 18
## Ce12CdPb4C3 (PBE)

Data for Ce12CdPb4C3 after structural relaxation.

**Energy of formation from the pure elements**: -3.84 eV per formula unit

Cell and atoms, written as CIF:
```
data_Ce12CdPb4C3
_cell_length_a 10.3324
_cell_length_b 10.3324
_cell_length_c 10.3324
_cell_angle_alpha 90.00
_cell_angle_beta 90.00
_cell_angle_gamma 90.00
_space_group_name_H-M_alt 'I m -3 m'
_space_group_IT_number 229
_space_group_name_Hall '-I 4 2 3'
loop_
_atom_site_label
_atom_site_fract_x
_atom_site_fract_y
_atom_site_fract_z
Ce1 0.0000 0.0000 0.2773
Ce2 0.0000 0.2500 0.5000
Cd1 0.0000 0.0000 0.0000
Pb1 0.2500 0.2500 0.2500
C1 0.0000 0.0000 0.5000
```

***

Record 19
## AgTe2 (PBE)

Data for AgTe2 after structural relaxation.

**Electronic total energy**: -2.763 eV per atom

Cell and atoms, written as CIF:
```
data_AgTe2
_cell_length_a 4.8456
_cell_length_b 4.8456
_cell_length_c 8.1448
_cell_angle_alpha 90.00
_cell_angle_beta 90.00
_cell_angle_gamma 120.00
_space_group_name_H-M_alt 'P 63/m m c'
_space_group_IT_number 194
_space_group_name_Hall '-P 6c 2c'
loop_
_atom_site_label
_atom_site_fract_x
_atom_site_fract_y
_atom_site_fract_z
Ag1 0.3333 0.6667 0.2500
Te1 0.0000 0.0000 0.0000
Te2 0.3333 0.6667 0.7500
```

***

Record 20
## HfTiBr3 (PBE)

Data for HfTiBr3 after structural relaxation.

**Offset from the most stable computed form**: 1128.0 meV per atom

Cell and atoms, written as CIF:
```
data_HfTiBr3
_cell_length_a 5.1754
_cell_length_b 5.1754
_cell_length_c 5.1754
_cell_angle_alpha 90.00
_cell_angle_beta 90.00
_cell_angle_gamma 90.00
_space_group_name_H-M_alt 'P m -3 m'
_space_group_IT_number 221
_space_group_name_Hall '-P 4 2 3'
loop_
_atom_site_label
_atom_site_fract_x
_atom_site_fract_y
_atom_site_fract_z
Hf1 0.0000 0.0000 0.0000
Ti1 0.5000 0.5000 0.5000
Br1 0.0000 0.5000 0.5000
```